Entry 1:
This record from Alexandria describes ZrU2PaC4 after structural relaxation. The functional is GGA-PBE.

```
data_ZrU2PaC4
_chemical_formula_sum 'Zr1 U2 Pa1 C4'
_cell_length_a 6.009
_cell_length_b 3.489
_cell_length_c 6.088
_cell_angle_alpha 90.00
_cell_angle_beta 109.69
_cell_angle_gamma 90.00
_space_group_name_H-M_alt 'P 1'
_space_group_IT_number 1
_space_group_name_Hall 'P 1'
loop_
_atom_site_label
_atom_site_fract_x
_atom_site_fract_y
_atom_site_fract_z
Zr1 0.000 0.000 0.000
U1 0.500 0.000 0.500
U2 0.500 0.500 0.000
Pa1 0.000 0.500 0.500
C1 0.256 0.500 0.246
C2 0.258 0.000 0.767
C3 0.742 0.000 0.233
C4 0.744 0.500 0.754
```

Computed properties:
E_form, meV per atom: -376
Final energy, eV per cell: -80.53
Total magnetization, μB/atom: 0.000

---

Entry 2:
This record from Alexandria describes PaV2C after structural relaxation. The functional is GGA-PBE.

```
data_PaV2C
_chemical_formula_sum 'Pa1 V2 C1'
_cell_length_a 7.728
_cell_length_b 7.728
_cell_length_c 7.728
_cell_angle_alpha 22.39
_cell_angle_beta 22.39
_cell_angle_gamma 22.39
_space_group_name_H-M_alt 'P 1'
_space_group_IT_number 1
_space_group_name_Hall 'P 1'
loop_
_atom_site_label
_atom_site_fract_x
_atom_site_fract_y
_atom_site_fract_z
Pa1 0.000 0.000 0.000
V1 0.119 0.119 0.119
V2 0.881 0.881 0.881
C1 0.500 0.500 0.500
```

Computed properties:
E_form, meV per atom: -6
Offset from the most stable computed form, meV per atom: 0.0
Final energy, eV per cell: -36.98
Total magnetization, μB/atom: 0.001

---

Entry 3:
This record from Alexandria describes PaV2C after structural relaxation. The functional is GGA-PBE.

```
data_PaV2C
_chemical_formula_sum 'Pa1 V2 C1'
_cell_length_a 2.802
_cell_length_b 2.802
_cell_length_c 6.974
_cell_angle_alpha 90.00
_cell_angle_beta 90.00
_cell_angle_gamma 90.00
_space_group_name_H-M_alt 'P 1'
_space_group_IT_number 1
_space_group_name_Hall 'P 1'
loop_
_atom_site_label
_atom_site_fract_x
_atom_site_fract_y
_atom_site_fract_z
Pa1 0.000 0.000 0.000
V1 0.500 0.500 0.341
V2 0.500 0.500 0.659
C1 0.000 0.000 0.500
```

Computed properties:
E_form, meV per atom: 264
Offset from the most stable computed form, meV per atom: 269.5
Final energy, eV per cell: -35.90
Total magnetization, μB/atom: 0.000

---

Entry 4:
This record from Alexandria describes PaV3C after structural relaxation. The functional is GGA-PBE.

```
data_PaV3C
_chemical_formula_sum 'Pa1 V3 C1'
_cell_length_a 4.162
_cell_length_b 4.162
_cell_length_c 4.162
_cell_angle_alpha 90.00
_cell_angle_beta 90.00
_cell_angle_gamma 90.00
_space_group_name_H-M_alt 'P 1'
_space_group_IT_number 1
_space_group_name_Hall 'P 1'
loop_
_atom_site_label
_atom_site_fract_x
_atom_site_fract_y
_atom_site_fract_z
Pa1 0.000 0.000 0.000
V1 0.000 0.500 0.500
V2 0.500 0.000 0.500
V3 0.500 0.500 0.000
C1 0.500 0.500 0.500
```

Computed properties:
E_form, meV per atom: 25
Final energy, eV per cell: -45.95
Total magnetization, μB/atom: 0.833

---

Entry 5:
This record from Alexandria describes Pa2V2C3 after structural relaxation. The functional is GGA-PBE.

```
data_Pa2V2C3
_chemical_formula_sum 'Pa2 V2 C3'
_cell_length_a 6.155
_cell_length_b 6.155
_cell_length_c 5.495
_cell_angle_alpha 114.08
_cell_angle_beta 114.08
_cell_angle_gamma 30.64
_space_group_name_H-M_alt 'P 1'
_space_group_IT_number 1
_space_group_name_Hall 'P 1'
loop_
_atom_site_label
_atom_site_fract_x
_atom_site_fract_y
_atom_site_fract_z
Pa1 0.100 0.100 0.298
Pa2 0.900 0.900 0.702
V1 0.340 0.340 0.170
V2 0.660 0.660 0.830
C1 0.249 0.249 0.755
C2 0.500 0.500 0.500
C3 0.751 0.751 0.245
```

Computed properties:
E_form, meV per atom: -470
Final energy, eV per cell: -68.19
Total magnetization, μB/atom: 0.000

---

Entry 6:
This record from Alexandria describes PaV3C2 after structural relaxation. The functional is GGA-PBE.

```
data_PaV3C2
_chemical_formula_sum 'Pa2 V6 C4'
_cell_length_a 6.474
_cell_length_b 6.474
_cell_length_c 8.266
_cell_angle_alpha 109.98
_cell_angle_beta 109.98
_cell_angle_gamma 27.96
_space_group_name_H-M_alt 'P 1'
_space_group_IT_number 1
_space_group_name_Hall 'P 1'
loop_
_atom_site_label
_atom_site_fract_x
_atom_site_fract_y
_atom_site_fract_z
Pa1 0.128 0.128 0.024
Pa2 0.872 0.872 0.976
V1 0.055 0.055 0.375
V2 0.290 0.290 0.627
V3 0.378 0.378 0.331
V4 0.622 0.622 0.669
V5 0.710 0.710 0.373
V6 0.945 0.945 0.625
C1 0.222 0.222 0.817
C2 0.478 0.478 0.794
C3 0.522 0.522 0.206
C4 0.778 0.778 0.183
```

Computed properties:
E_form, meV per atom: -317
Final energy, eV per cell: -114.41
Total magnetization, μB/atom: 0.000

---

Entry 7:
This record from Alexandria describes Zr2PaVC4 after structural relaxation. The functional is GGA-PBE.

```
data_Zr2PaVC4
_chemical_formula_sum 'Zr4 Pa2 V2 C8'
_cell_length_a 5.954
_cell_length_b 5.954
_cell_length_c 11.491
_cell_angle_alpha 90.00
_cell_angle_beta 90.00
_cell_angle_gamma 147.54
_space_group_name_H-M_alt 'P 1'
_space_group_IT_number 1
_space_group_name_Hall 'P 1'
loop_
_atom_site_label
_atom_site_fract_x
_atom_site_fract_y
_atom_site_fract_z
Zr1 0.131 0.869 0.542
Zr2 0.131 0.869 0.958
Zr3 0.869 0.131 0.042
Zr4 0.869 0.131 0.458
Pa1 0.391 0.609 0.750
Pa2 0.609 0.391 0.250
V1 0.344 0.656 0.250
V2 0.656 0.344 0.750
C1 0.054 0.946 0.750
C2 0.235 0.765 0.125
C3 0.235 0.765 0.375
C4 0.500 0.500 0.000
C5 0.500 0.500 0.500
C6 0.765 0.235 0.625
C7 0.765 0.235 0.875
C8 0.946 0.054 0.250
```

Computed properties:
E_form, meV per atom: -437
Final energy, eV per cell: -152.21
Total magnetization, μB/atom: 0.000

---

Entry 8:
This record from Alexandria describes PaWC2 after structural relaxation. The functional is GGA-PBE.

```
data_PaWC2
_chemical_formula_sum 'Pa1 W1 C2'
_cell_length_a 5.815
_cell_length_b 5.815
_cell_length_c 5.815
_cell_angle_alpha 32.90
_cell_angle_beta 32.90
_cell_angle_gamma 32.90
_space_group_name_H-M_alt 'P 1'
_space_group_IT_number 1
_space_group_name_Hall 'P 1'
loop_
_atom_site_label
_atom_site_fract_x
_atom_site_fract_y
_atom_site_fract_z
Pa1 0.000 0.000 0.000
W1 0.500 0.500 0.500
C1 0.238 0.238 0.238
C2 0.762 0.762 0.762
```

Computed properties:
E_form, meV per atom: -277
Offset from the most stable computed form, meV per atom: 0.0
Final energy, eV per cell: -42.01
Total magnetization, μB/atom: 0.000

---

Entry 9:
This record from Alexandria describes Pa2WC after structural relaxation. The functional is GGA-PBE.

```
data_Pa2WC
_chemical_formula_sum 'Pa2 W1 C1'
_cell_length_a 8.958
_cell_length_b 8.958
_cell_length_c 8.958
_cell_angle_alpha 20.23
_cell_angle_beta 20.23
_cell_angle_gamma 20.23
_space_group_name_H-M_alt 'P 1'
_space_group_IT_number 1
_space_group_name_Hall 'P 1'
loop_
_atom_site_label
_atom_site_fract_x
_atom_site_fract_y
_atom_site_fract_z
Pa1 0.107 0.107 0.107
Pa2 0.893 0.893 0.893
W1 0.000 0.000 0.000
C1 0.500 0.500 0.500
```

Computed properties:
E_form, meV per atom: 422
Offset from the most stable computed form, meV per atom: 39.3
Final energy, eV per cell: -39.48
Total magnetization, μB/atom: 0.000

---

Entry 10:
This record from Alexandria describes PaWC2 after structural relaxation. The functional is GGA-PBE.

```
data_PaWC2
_chemical_formula_sum 'Pa1 W1 C2'
_cell_length_a 6.106
_cell_length_b 6.106
_cell_length_c 6.106
_cell_angle_alpha 30.55
_cell_angle_beta 30.55
_cell_angle_gamma 30.55
_space_group_name_H-M_alt 'P 1'
_space_group_IT_number 1
_space_group_name_Hall 'P 1'
loop_
_atom_site_label
_atom_site_fract_x
_atom_site_fract_y
_atom_site_fract_z
Pa1 0.000 0.000 0.000
W1 0.826 0.826 0.826
C1 0.232 0.232 0.232
C2 0.424 0.424 0.424
```

Computed properties:
E_form, meV per atom: -79
Offset from the most stable computed form, meV per atom: 198.1
Final energy, eV per cell: -41.21
Total magnetization, μB/atom: 0.000

---

Entry 11:
This record from Alexandria describes PaWC2 after structural relaxation. The functional is GGA-PBE.

```
data_PaWC2
_chemical_formula_sum 'Pa2 W2 C4'
_cell_length_a 7.062
_cell_length_b 7.062
_cell_length_c 4.538
_cell_angle_alpha 90.00
_cell_angle_beta 90.00
_cell_angle_gamma 149.48
_space_group_name_H-M_alt 'P 1'
_space_group_IT_number 1
_space_group_name_Hall 'P 1'
loop_
_atom_site_label
_atom_site_fract_x
_atom_site_fract_y
_atom_site_fract_z
Pa1 0.183 0.817 0.750
Pa2 0.817 0.183 0.250
W1 0.425 0.575 0.750
W2 0.575 0.425 0.250
C1 0.149 0.851 0.250
C2 0.426 0.574 0.250
C3 0.574 0.426 0.750
C4 0.851 0.149 0.750
```

Computed properties:
E_form, meV per atom: -98
Offset from the most stable computed form, meV per atom: 179.1
Final energy, eV per cell: -82.58
Total magnetization, μB/atom: 0.000

---

Entry 12:
This record from Alexandria describes PaW2C after structural relaxation. The functional is GGA-PBE.

```
data_PaW2C
_chemical_formula_sum 'Pa1 W2 C1'
_cell_length_a 8.163
_cell_length_b 8.163
_cell_length_c 8.163
_cell_angle_alpha 21.50
_cell_angle_beta 21.50
_cell_angle_gamma 21.50
_space_group_name_H-M_alt 'P 1'
_space_group_IT_number 1
_space_group_name_Hall 'P 1'
loop_
_atom_site_label
_atom_site_fract_x
_atom_site_fract_y
_atom_site_fract_z
Pa1 0.000 0.000 0.000
W1 0.217 0.217 0.217
W2 0.783 0.783 0.783
C1 0.500 0.500 0.500
```

Computed properties:
E_form, meV per atom: 176
Final energy, eV per cell: -43.92
Total magnetization, μB/atom: 0.000